# YP2ClF

YP2ClF after structural relaxation (GGA-PBE, Alexandria via LeMat-Bulk).

Geometry as CIF:
```
data_YP2ClF
_symmetry_space_group_name_H-M 'P 1'
_symmetry_Int_Tables_number 1
_cell_length_a 4.148
_cell_length_b 4.148
_cell_length_c 5.251
_cell_angle_alpha 90.00
_cell_angle_beta 90.00
_cell_angle_gamma 90.00
loop_
_symmetry_equiv_pos_as_xyz
'x,y,z'
loop_
_atom_site_label
_atom_site_type_symbol
_atom_site_fract_x
_atom_site_fract_y
_atom_site_fract_z
Cl1 Cl 0.000 0.000 0.500
F1 F 0.000 0.000 0.000
P1 P 0.500 0.000 0.000
P2 P 0.000 0.500 0.000
Y1 Y 0.500 0.500 0.500
```

## Properties
- Space group: P4/mmm (123)
- Final energy: -4.83 eV per atom
- Volume: 18.1 Å³/atom
- Energy relative to the elements, uncorrected: -625 meV per atom
- M_tot: 0.000 μB per atom
- Density of states at the Fermi level: 1.246 states/eV/cell